# Er4Te3C2 PBE optimized geometry
# Magnetization   0.0 μB/f.u.
# ΔE_f (raw)   -0.741 eV per atom
# ρ   8.22 g/cm³
data_Er4Te3C2
_space_group_name_H-M_alt 'C 1 2/c 1'
_space_group_IT_number 15
_cell_length_a 13.5515
_cell_length_b 10.9871
_cell_length_c 5.9044
_cell_angle_alpha 90.00
_cell_angle_beta 98.65
_cell_angle_gamma 90.00
loop_
_space_group_symop_operation_xyz
'x,y,z'
'-x,-y,-z'
'-x,y,-z+1/2'
'x,-y,z+1/2'
'x+1/2,y+1/2,z'
'-x+1/2,-y+1/2,-z'
'-x+1/2,y+1/2,-z+1/2'
'x+1/2,-y+1/2,z+1/2'
loop_
_atom_site_label
_atom_site_fract_x
_atom_site_fract_y
_atom_site_fract_z
Er1 0.1531 0.1622 0.4721
Er2 0.1590 0.4106 0.9040
Te1 0.0000 0.3830 0.2500
Te2 0.1162 0.1262 0.9620
C1 0.1788 0.3797 0.5064